i.
Below is an optimized crystal structure of TlFe2O, with properties calculated at the GGA+U level.

a b c (Å): 4.476 4.476 4.476
angles (deg): 60.00 60.00 60.00
Fractional coordinates of all 4 atoms:
1 Tl 0.000 0.000 0.000
2 Fe 0.250 0.250 0.250
3 Fe 0.750 0.750 0.750
4 O 0.500 0.500 0.500

* theoretical density: 8.7 g cm⁻³
* calculated volume: 63 Å³/cell


ii.
Below is an optimized crystal structure of TlFe2O, with properties calculated at the GGA+U level.

a b c (Å): 6.002 6.002 6.002
angles (deg): 117.78 117.78 93.89
Fractional coordinates of all 8 atoms:
1 Tl 0.000 0.000 0.000
2 Tl 0.750 0.250 0.500
3 Fe 0.258 0.625 0.133
4 Fe 0.375 0.508 0.633
5 Fe 0.492 0.125 0.867
6 Fe 0.875 0.742 0.367
7 O 0.250 0.750 0.500
8 O 0.500 0.500 0.000

* theoretical density: 7.0 g cm⁻³
* calculated volume: 158 Å³/cell


Here are the energies relative to the best structure, in kJ/mol of atoms: i 89.1; ii 0.0.


i.
Below is an optimized crystal structure of TlFeO2, with properties calculated at the GGA+U level.

a b c (Å): 8.457 8.457 5.645
angles (deg): 103.09 103.09 133.28
Fractional coordinates of all 16 atoms:
1 Tl 0.057 0.943 0.750
2 Tl 0.188 0.812 0.250
3 Tl 0.812 0.188 0.750
4 Tl 0.943 0.057 0.250
5 Fe 0.306 0.694 0.750
6 Fe 0.393 0.607 0.250
7 Fe 0.607 0.393 0.750
8 Fe 0.694 0.306 0.250
9 O 0.074 0.485 0.290
10 O 0.195 0.392 0.828
11 O 0.392 0.195 0.328
12 O 0.485 0.074 0.790
13 O 0.515 0.926 0.210
14 O 0.608 0.805 0.672
15 O 0.805 0.608 0.172
16 O 0.926 0.515 0.710

* theoretical density: 8.0 g cm⁻³
* calculated volume: 241 Å³/cell


ii.
Below is an optimized crystal structure of TlFeO2, with properties calculated at the GGA+U level.

a b c (Å): 5.842 5.842 5.842
angles (deg): 120.67 120.67 88.84
Fractional coordinates of all 8 atoms:
1 Tl 0.000 0.000 0.000
2 Tl 0.750 0.250 0.500
3 Fe 0.250 0.750 0.500
4 Fe 0.500 0.500 0.000
5 O 0.256 0.625 0.131
6 O 0.375 0.506 0.631
7 O 0.494 0.125 0.869
8 O 0.875 0.744 0.369

* theoretical density: 7.0 g cm⁻³
* calculated volume: 140 Å³/cell


Here are the energies relative to the best structure, in kJ/mol of atoms: i 19.5; ii 0.0.